BiP3Au: optimized geometry, PBE.

Output
Excess energy over the best structure of this formula in the dataset = 0 meV/atom
SG = Pm-3m, No. 221
Formation enthalpy at 0 K = 904 meV/atom
Fermi-level density of states = 5.0 states/eV per cell

a b c (Å): 4.857 4.857 4.857
angles (deg): 90.00 90.00 90.00
Sites, in units of the cell vectors:
P 0.000 0.500 0.000
P 0.000 0.000 0.500
P 0.500 0.000 0.000
Au 0.000 0.000 0.000
Bi 0.500 0.500 0.500

BaPdPt2: optimized geometry, PBE.

Output
SG = Fm-3m, No. 225
Formation enthalpy at 0 K = 36 meV/atom
Fermi-level density of states = 0.9 states/eV per cell

a b c (Å): 4.925 4.925 4.925
angles (deg): 60.00 60.00 60.00
Sites, in units of the cell vectors:
Pd 0.000 0.000 0.000
Ba 0.500 0.500 0.500
Pt 0.250 0.250 0.250
Pt 0.750 0.750 0.750

ScTl4F6: optimized geometry, PBE.

Output
SG = P4/mnc, No. 128
Uncorrected formation energy = -2.328 eV per atom
Fermi-level density of states = 5.4 states/eV per cell

a b c (Å): 7.626 7.626 9.974
angles (deg): 90.00 90.00 90.00
Sites, in units of the cell vectors:
Sc 0.500 0.500 0.000
Sc 0.000 0.000 0.500
Tl 0.319 0.181 0.250
Tl 0.181 0.681 0.750
Tl 0.681 0.819 0.750
Tl 0.819 0.319 0.750
Tl 0.319 0.181 0.750
Tl 0.181 0.681 0.250
Tl 0.819 0.319 0.250
Tl 0.681 0.819 0.250
F 0.194 0.817 0.500
F 0.694 0.683 0.000
F 0.683 0.306 0.000
F 0.183 0.194 0.500
F 0.000 0.000 0.292
F 0.500 0.500 0.208
F 0.317 0.694 0.000
F 0.000 0.000 0.708
F 0.306 0.317 0.000
F 0.500 0.500 0.792
F 0.817 0.806 0.500
F 0.806 0.183 0.500